Compound: NpSb3S6
Source: Alexandria
Functional: PBE
Structure: relaxed

It has space group Cmmm (No. 65), with a = 9.4572 Å, b = 13.5089 Å, c = 4.0441 Å, α = 90.00°, β = 90.00° and γ = 90.00°. Symmetry generates all atoms from Np at (0.0000, 0.0000, 0.0000), Sb at (0.0000, 0.5000, 0.0000), Sb at (0.2500, 0.2500, 0.5000), S at (0.0000, 0.1440, 0.5000) and S at (0.2253, 0.3824, 0.0000).

The calculation puts the formation energy (no corrections) at -0.38 eV per atom.

---

Compound: Tb2S3
Source: Alexandria
Functional: PBE
Structure: relaxed

It has space group Pnma (No. 62), with a = 7.3347 Å, b = 3.9121 Å, c = 15.2633 Å, α = 90.00°, β = 90.00° and γ = 90.00°. Symmetry generates all atoms from Tb at (0.1422, 0.2500, 0.2045), Tb at (0.2340, 0.7500, 0.4572), S at (0.0100, 0.2500, 0.3920), S at (0.1238, 0.7500, 0.0677) and S at (0.1491, 0.2500, 0.7817).

The calculation puts the formation energy (no corrections) at -2.08 eV per atom.

---

Question: Look up the formation energy (no corrections) of the first one.
Answer: -0.38 eV per atom

---

What did the first record say?
Compound: NpSb3S6
Source: Alexandria
Functional: PBE
Structure: relaxed

It has space group Cmmm (No. 65), with a = 9.4572 Å, b = 13.5089 Å, c = 4.0441 Å, α = 90.00°, β = 90.00° and γ = 90.00°. Symmetry generates all atoms from Np at (0.0000, 0.0000, 0.0000), Sb at (0.0000, 0.5000, 0.0000), Sb at (0.2500, 0.2500, 0.5000), S at (0.0000, 0.1440, 0.5000) and S at (0.2253, 0.3824, 0.0000).

The calculation puts the formation energy (no corrections) at -0.38 eV per atom.